Record 1
Nd4SbPd PBE-GGA optimized geometry; space-group type = Cmcm (63); DFT total energy = -5.2403 eV per atom; magnetic moment = 0.000 μB per atom; formation energy (no corrections) = -0.509 eV per atom
1.0
2.8130 -10.4488 0.0000
2.8130 10.4488 0.0000
0.0000 0.0000 6.4610
Nd Sb Pd
8 2 2
Cartesian
2.8130 9.3442 4.8458 Nd
2.8130 6.1534 3.2483 Nd
2.8130 6.1534 6.4432 Nd
2.8130 2.2893 4.8458 Nd
2.8130 -2.2893 1.6153 Nd
2.8130 -6.1534 0.0178 Nd
2.8130 -6.1534 3.2127 Nd
2.8130 -9.3442 1.6153 Nd
2.8130 3.1458 1.6153 Sb
2.8130 -3.1458 4.8458 Sb
2.8130 8.7374 1.6153 Pd
2.8130 -8.7374 4.8458 Pd

Record 2
NdSbPd2 PBE-GGA optimized geometry; space-group type = P4/mmm (123); DFT total energy = -5.5050 eV per atom; magnetic moment = 0.000 μB per atom; formation energy (no corrections) = -0.686 eV per atom
1.0
4.5990 0.0000 0.0000
0.0000 4.5990 0.0000
0.0000 0.0000 4.0291
Nd Sb Pd
1 1 2
Cartesian
0.0000 0.0000 0.0000 Nd
2.2995 2.2995 0.0000 Sb
0.0000 2.2995 2.0145 Pd
2.2995 0.0000 2.0145 Pd

Record 3
Nd2Sb2Pd15 PBE-GGA optimized geometry; space-group type = R-3m (166); DFT total energy = -5.4260 eV per atom; magnetic moment = 0.000 μB per atom; formation energy (no corrections) = -0.391 eV per atom
1.0
4.6458 2.6823 4.6249
-4.6458 2.6823 4.6249
0.0000 -5.3645 4.6249
Nd Sb Pd
2 2 15
Cartesian
0.0000 0.0000 2.0439 Nd
0.0000 0.0000 11.8307 Nd
0.0000 0.0000 5.4953 Sb
0.0000 0.0000 8.3793 Sb
-2.3229 -1.3411 4.6249 Pd
0.0000 -2.7140 4.5823 Pd
-2.3504 1.3570 4.5823 Pd
-1.5242 -2.6400 6.9373 Pd
-3.0484 0.0000 6.9373 Pd
-2.3504 -1.3570 9.2923 Pd
-2.3229 1.3411 9.2497 Pd
1.5242 -2.6400 6.9373 Pd
0.0000 2.6823 4.6249 Pd
-1.5242 2.6400 6.9373 Pd
2.3504 1.3570 4.5823 Pd
3.0484 0.0000 6.9373 Pd
1.5242 2.6400 6.9373 Pd
2.3504 -1.3570 9.2923 Pd
0.0000 2.7140 9.2923 Pd